Here is PuNiPd after structural relaxation from Alexandria via LeMat-Bulk. Energies are from GGA-PBE.

abc: 5.182 5.257 5.257
angles: 62.08 60.47 60.47
Last column: magnetic moment on the atom in μB.
Fractional positions:
Pu  0.879  0.371  0.371  5.25
Pu  0.121  0.629  0.629  5.25
Pd  0.500  0.500  0.000  -0.05
Pd  0.500  0.000  0.500  -0.05
Ni  0.000  0.000  0.000  -0.26
Ni  0.500  0.000  0.000  -0.26

## Properties
**E above lowest polymorph**: 0.0 meV/atom
**Energy relative to the elements**: -391 meV per atom